## TePt5 (PBE)

Data for a geometry-optimized TePt5 structure.

- SG = F-43m, No. 216
- E above lowest polymorph (kJ/mol of formula units) = 144.9
- ΔE_f (raw) (eV per atom) = 0.2490

The structure in POSCAR format:
```
TePt5
1.0
0.000 3.767 3.767
3.767 0.000 3.767
3.767 3.767 0.000
Te Pt
1 5
direct
0.000 0.000 0.000
0.375 0.375 0.375
0.375 0.375 0.874
0.375 0.874 0.375
0.750 0.750 0.750
0.874 0.375 0.375
```

***

## Te2Pt (PBE)

Data for a geometry-optimized Te2Pt structure.

- SG = Immm, No. 71
- ΔE_f (raw) (eV per atom) = 0.1749

The structure in POSCAR format:
```
Te2Pt
1.0
-1.540 1.810 6.577
1.540 -1.810 6.577
1.540 1.810 -6.577
Te Pt
2 1
direct
0.135 0.135 0.000
0.865 0.865 0.000
0.500 0.500 0.000
```

***

## TePt2 (PBE)

Data for a geometry-optimized TePt2 structure.

- SG = Pa-3, No. 205
- E above lowest polymorph (kJ/mol of formula units) = 127.0
- ΔE_f (raw) (eV per atom) = 0.2597

The structure in POSCAR format:
```
TePt2
1.0
6.381 0.000 0.000
0.000 6.381 0.000
0.000 0.000 6.381
Te Pt
4 8
direct
0.000 0.000 0.000
0.000 0.500 0.500
0.500 0.000 0.500
0.500 0.500 0.000
0.122 0.622 0.878
0.122 0.878 0.378
0.378 0.122 0.878
0.378 0.378 0.378
0.622 0.622 0.622
0.622 0.878 0.122
0.878 0.122 0.622
0.878 0.378 0.122
```

***

## Te3Pt4 (PBE)

Data for a geometry-optimized Te3Pt4 structure.

- SG = P6/mmm, No. 191
- E above lowest polymorph (kJ/mol of formula units) = 599.6
- ΔE_f (raw) (eV per atom) = 0.7612

The structure in POSCAR format:
```
Te3Pt4
1.0
6.193 0.000 0.000
-3.097 5.364 0.000
0.000 0.000 4.757
Te Pt
3 4
direct
0.000 0.500 0.000
0.500 0.000 0.000
0.500 0.500 0.000
0.000 0.000 0.251
0.000 0.000 0.749
0.333 0.667 0.500
0.667 0.333 0.500
```